{
  "formula": "Li4GaPb3",
  "functional": "GGA-PBE",
  "state": "optimized geometry",
  "lattice_angstrom": [[3.486, 0.000, 0.000], [0.000, 3.486, 0.000], [0.000, 0.000, 13.778]],
  "species": ["Li", "Li", "Li", "Li", "Ga", "Pb", "Pb", "Pb"],
  "fractional_positions": [[0.000, 0.000, 0.104], [0.000, 0.000, 0.366], [0.000, 0.000, 0.634], [0.000, 0.000, 0.896], [0.500, 0.500, 0.000], [0.500, 0.500, 0.233], [0.500, 0.500, 0.500], [0.500, 0.500, 0.767]],
  "sg": "No. 123",
  "magmom_total_mub_per_cell": 0.0,
  "energy_ev_per_atom": -2.97
}